! K3CuAg2Br6 | Alexandria via LeMat-Bulk | PBE | optimized geometry; values from VASP
! ΔE_f (raw): -10.45 eV/f.u.
! Crystal system: trigonal
&SYSTEM
  ibrav = 0, nat = 12, ntyp = 4
/
ATOMIC_SPECIES
K 39.10 K.upf
Cu 63.55 Cu.upf
Ag 107.87 Ag.upf
Br 79.90 Br.upf
CELL_PARAMETERS angstrom
8.069 0.000 0.000
-4.035 6.988 0.000
0.000 0.000 8.268
ATOMIC_POSITIONS crystal
K 0.000 0.000 0.000
K 0.333 0.667 0.620
K 0.667 0.333 0.380
Cu 0.000 0.000 0.500
Ag 0.333 0.667 0.214
Ag 0.667 0.333 0.786
Br 0.153 0.307 0.301
Br 0.153 0.847 0.301
Br 0.307 0.153 0.699
Br 0.693 0.847 0.301
Br 0.847 0.153 0.699
Br 0.847 0.693 0.699